Computed, not measured: a relaxed Ga2CoOs crystal at the GGA-PBE level of DFT.

```
data_Ga2CoOs
_chemical_formula_sum 'Ga8 Co4 Os4'
_space_group_name_H-M_alt 'F -4 3 m'
_space_group_IT_number 216
_space_group_name_Hall 'F -4 2 3'
_cell_length_a 6.009
_cell_length_b 6.009
_cell_length_c 6.009
_cell_angle_alpha 90.00
_cell_angle_beta 90.00
_cell_angle_gamma 90.00
loop_
_atom_site_label
_atom_site_fract_x
_atom_site_fract_y
_atom_site_fract_z
Ga1 0.000 0.000 0.000
Ga2 0.250 0.250 0.250
Co1 0.250 0.250 0.750
Os1 0.000 0.000 0.500
```

Calculated values
* total moment: 1.0 μB/f.u.
* DFT total energy: -23.40 eV/f.u.


Computed, not measured: a relaxed GaCo2Os crystal at the GGA-PBE level of DFT.

```
data_GaCo2Os
_chemical_formula_sum 'Ga4 Co8 Os4'
_space_group_name_H-M_alt 'F -4 3 m'
_space_group_IT_number 216
_space_group_name_Hall 'F -4 2 3'
_cell_length_a 5.824
_cell_length_b 5.824
_cell_length_c 5.824
_cell_angle_alpha 90.00
_cell_angle_beta 90.00
_cell_angle_gamma 90.00
loop_
_atom_site_label
_atom_site_fract_x
_atom_site_fract_y
_atom_site_fract_z
Ga1 0.000 0.000 0.000
Co1 0.000 0.000 0.500
Co2 0.250 0.250 0.750
Os1 0.250 0.250 0.250
```

Calculated values
* total moment: 3.4 μB/f.u.
* DFT total energy: -27.96 eV/f.u.


Computed, not measured: a relaxed GaCoOsPt crystal at the GGA-PBE level of DFT.

```
data_GaCoOsPt
_chemical_formula_sum 'Ga4 Co4 Os4 Pt4'
_space_group_name_H-M_alt 'F -4 3 m'
_space_group_IT_number 216
_space_group_name_Hall 'F -4 2 3'
_cell_length_a 6.080
_cell_length_b 6.080
_cell_length_c 6.080
_cell_angle_alpha 90.00
_cell_angle_beta 90.00
_cell_angle_gamma 90.00
loop_
_atom_site_label
_atom_site_fract_x
_atom_site_fract_y
_atom_site_fract_z
Ga1 0.000 0.000 0.000
Co1 0.250 0.250 0.250
Os1 0.250 0.250 0.750
Pt1 0.000 0.000 0.500
```

Calculated values
* energy relative to the lowest polymorph listed for this composition: 0.000 eV per atom
* total moment: 1.6 μB/f.u.
* DFT total energy: -26.83 eV/f.u.


Computed, not measured: a relaxed ZrGaCoOs crystal at the GGA-PBE level of DFT.

```
data_ZrGaCoOs
_chemical_formula_sum 'Zr4 Ga4 Co4 Os4'
_space_group_name_H-M_alt 'F -4 3 m'
_space_group_IT_number 216
_space_group_name_Hall 'F -4 2 3'
_cell_length_a 6.317
_cell_length_b 6.317
_cell_length_c 6.317
_cell_angle_alpha 90.00
_cell_angle_beta 90.00
_cell_angle_gamma 90.00
loop_
_atom_site_label
_atom_site_fract_x
_atom_site_fract_y
_atom_site_fract_z
Zr1 0.000 0.000 0.000
Ga1 0.250 0.250 0.250
Co1 0.000 0.000 0.500
Os1 0.250 0.250 0.750
```

Calculated values
* energy relative to the lowest polymorph listed for this composition: 0.393 eV per atom
* total moment: 2.6 μB/f.u.
* DFT total energy: -29.64 eV/f.u.


Computed, not measured: a relaxed ZrGaCoOs crystal at the GGA-PBE level of DFT.

```
data_ZrGaCoOs
_chemical_formula_sum 'Zr4 Ga4 Co4 Os4'
_space_group_name_H-M_alt 'F -4 3 m'
_space_group_IT_number 216
_space_group_name_Hall 'F -4 2 3'
_cell_length_a 6.226
_cell_length_b 6.226
_cell_length_c 6.226
_cell_angle_alpha 90.00
_cell_angle_beta 90.00
_cell_angle_gamma 90.00
loop_
_atom_site_label
_atom_site_fract_x
_atom_site_fract_y
_atom_site_fract_z
Zr1 0.000 0.000 0.000
Ga1 0.000 0.000 0.500
Co1 0.250 0.250 0.750
Os1 0.250 0.250 0.250
```

Calculated values
* energy relative to the lowest polymorph listed for this composition: 0.000 eV per atom
* total moment: 0.0 μB/f.u.
* DFT total energy: -31.22 eV/f.u.


Computed, not measured: a relaxed Pa2Ga8Co crystal at the GGA-PBE level of DFT.

```
data_Pa2Ga8Co
_chemical_formula_sum 'Pa2 Ga8 Co1'
_space_group_name_H-M_alt 'P 4/m m m'
_space_group_IT_number 123
_space_group_name_Hall '-P 4 2'
_cell_length_a 4.282
_cell_length_b 4.282
_cell_length_c 11.066
_cell_angle_alpha 90.00
_cell_angle_beta 90.00
_cell_angle_gamma 90.00
loop_
_atom_site_label
_atom_site_fract_x
_atom_site_fract_y
_atom_site_fract_z
Pa1 0.000 0.000 0.195
Ga1 0.000 0.500 0.000
Ga2 0.000 0.500 0.384
Ga3 0.500 0.500 0.195
Co1 0.000 0.000 0.500
```

Calculated values
* total moment: 0.0 μB/f.u.
* DFT total energy: -54.71 eV/f.u.